Entry 1:
Material: TaTi2ZnN
Method: DFT, PBE-GGA
State: relaxed

Crystal system = tetragonal
Formation energy from raw total energies = -708 meV/atom
Size of the total moment = 0.00 μB per formula unit
Space-group type = No. 123
DOS(E_F) = 2.5 states/eV/f.u.

Cell: 4.0659 4.0659 4.3085 Å, 90.00 90.00 90.00°
Closest atoms and distances in Å follow each position.
Element x y z (fractional)
Ta 0.0000 0.0000 0.0000  2 N 2.15
Ti 0.0000 0.5000 0.5000  2 N 2.03
Ti 0.5000 0.0000 0.5000  2 N 2.03
Zn 0.5000 0.5000 0.0000  4 Ta 2.88, 8 Ti 2.96
N 0.0000 0.0000 0.5000  4 Ti 2.03, 2 Ta 2.15



Entry 2:
Material: HfMo
Method: DFT, PBE-GGA
State: relaxed

Crystal system = hexagonal
Size of the total moment = 0.45 μB per formula unit
Raw total energy = -8.82 eV per atom
Space-group type = No. 194
DOS(E_F) = 3.3 states/eV/f.u.

Cell: 4.6283 4.6283 5.3588 Å, 90.00 90.00 120.00°
Closest atoms and distances in Å follow each position.
Element x y z (fractional)
Hf 0.3333 0.6667 0.2500  5 Mo 2.67-2.68
Hf 0.6667 0.3333 0.7500  5 Mo 2.67-2.68
Mo 0.3333 0.6667 0.7500  5 Hf 2.67-2.68
Mo 0.6667 0.3333 0.2500  5 Hf 2.67-2.68



Entry 3:
Material: BeOsRu2
Method: DFT, PBE-GGA
State: relaxed

Crystal system = tetragonal
Size of the total moment = 0.00 μB per formula unit
Raw total energy = -8.22 eV per atom
Space-group type = No. 119
DOS(E_F) = 3.7 states/eV/f.u.

Cell: 4.7158 4.7158 4.7158 Å, 134.64 134.64 66.09°
Closest atoms and distances in Å follow each position.
Element x y z (fractional)
Be 0.0000 0.0000 0.0000  8 Ru 2.57-2.69, 4 Os 2.69
Os 0.2500 0.7500 0.5000  8 Ru 2.57-2.69, 4 Be 2.69
Ru 0.5000 0.5000 0.0000  4 Be 2.57, 4 Ru 2.69, 4 Os 2.69
Ru 0.7500 0.2500 0.5000  4 Os 2.57, 4 Be 2.69, 4 Ru 2.69



Entry 4:
Material: Ca2CdCuN
Method: DFT, PBE-GGA
State: relaxed

Crystal system = tetragonal
Formation energy from raw total energies = -340 meV/atom
Size of the total moment = 0.00 μB per formula unit
Space-group type = No. 123
DOS(E_F) = 3.1 states/eV/f.u.

Cell: 5.0431 5.0431 3.8941 Å, 90.00 90.00 90.00°
Closest atoms and distances in Å follow each position.
Element x y z (fractional)
Ca 0.0000 0.5000 0.0000  2 N 2.52
Ca 0.5000 0.0000 0.0000  2 N 2.52
Cd 0.0000 0.0000 0.5000  8 Ca 3.19, 4 Cu 3.57
Cu 0.5000 0.5000 0.5000  2 N 1.95
N 0.5000 0.5000 0.0000  2 Cu 1.95



Entry 5:
Material: Cu3SiH
Method: DFT, PBE-GGA
State: relaxed

Crystal system = cubic
Size of the total moment = 1.05 μB per formula unit
Raw total energy = -3.27 eV per atom
Space-group type = No. 221
DOS(E_F) = 2.7 states/eV/f.u.

Cell: 4.4626 4.4626 4.4626 Å, 90.00 90.00 90.00°
Closest atoms and distances in Å follow each position.
Element x y z (fractional)
Cu 0.0000 0.0000 0.5000  2 Si 2.23
Cu 0.0000 0.5000 0.0000  2 Si 2.23
Cu 0.5000 0.0000 0.0000  2 Si 2.23
Si 0.0000 0.0000 0.0000  6 Cu 2.23
H 0.5000 0.5000 0.5000  12 Cu 3.16



Entry 6:
Material: Li2ZrGeH
Method: DFT, PBE-GGA
State: relaxed

Crystal system = tetragonal
Size of the total moment = 0.00 μB per formula unit
Raw total energy = -4.54 eV per atom
Space-group type = No. 123
DOS(E_F) = 1.6 states/eV/f.u.

Cell: 3.9455 3.9455 4.3774 Å, 90.00 90.00 90.00°
Closest atoms and distances in Å follow each position.
Element x y z (fractional)
Li 0.0000 0.5000 0.0000  2 H 1.97
Li 0.5000 0.0000 0.0000  2 H 1.97
Zr 0.0000 0.0000 0.5000  2 H 2.19
Ge 0.5000 0.5000 0.5000  4 Zr 2.79, 8 Li 2.95
H 0.0000 0.0000 0.0000  4 Li 1.97, 2 Zr 2.19



Entry 7:
Material: Y2TcIr
Method: DFT, PBE-GGA
State: relaxed

Crystal system = tetragonal
Size of the total moment = 0.00 μB per formula unit
Raw total energy = -7.92 eV per atom
Space-group type = No. 99
DOS(E_F) = 5.0 states/eV/f.u.

Cell: 3.7366 3.7366 6.1872 Å, 90.00 90.00 90.00°
Closest atoms and distances in Å follow each position.
Element x y z (fractional)
Y 0.0000 0.0000 0.0000  1 Ir 2.79, 4 Tc 2.90
Y 0.5000 0.5000 0.3702  1 Tc 2.71, 4 Ir 2.86
Tc 0.5000 0.5000 0.8083  5 Y 2.71-2.90
Ir 0.0000 0.0000 0.5484  5 Y 2.79-2.86, 4 Tc 3.09



Entry 8:
Material: MgZnTe
Method: DFT, PBE-GGA
State: relaxed

Crystal system = orthorhombic
Formation energy from raw total energies = -18 meV/atom
Size of the total moment = 0.00 μB per formula unit
Space-group type = No. 42
DOS(E_F) = 0.6 states/eV/f.u.

Cell: 6.6089 6.3451 3.5268 Å, 78.37 70.12 31.51°
Closest atoms and distances in Å follow each position.
Element x y z (fractional)
Mg 0.0000 0.0000 0.0000  2 Zn 2.84, 2 Te 2.96
Zn 0.3421 0.3421 0.6579  2 Mg 2.84, 2 Te 2.93
Te 0.6728 0.6728 0.3272  2 Zn 2.93, 2 Mg 2.96



Entry 9:
Material: IrOsAu2
Method: DFT, PBE-GGA
State: relaxed

Crystal system = orthorhombic
Size of the total moment = 0.00 μB per formula unit
Raw total energy = -5.97 eV per atom
Space-group type = No. 47
DOS(E_F) = 5.1 states/eV/f.u.

Cell: 2.8360 3.9667 5.6959 Å, 90.00 90.00 90.00°
Closest atoms and distances in Å follow each position.
Element x y z (fractional)
Ir 0.0000 0.0000 0.0000  8 Au 2.83, 2 Ir 2.84, 2 Os 2.85
Os 0.0000 0.0000 0.5000  8 Au 2.82, 2 Os 2.84, 2 Ir 2.85
Au 0.5000 0.5000 0.2522  4 Os 2.82, 4 Au 2.82-2.87, 4 Ir 2.83
Au 0.5000 0.5000 0.7478  4 Os 2.82, 4 Au 2.82-2.87, 4 Ir 2.83



Entry 10:
Material: InGaB3
Method: DFT, PBE-GGA
State: relaxed

Crystal system = cubic
Size of the total moment = 0.00 μB per formula unit
Raw total energy = -2.97 eV per atom
Space-group type = No. 221
DOS(E_F) = 3.4 states/eV/f.u.

Cell: 4.5438 4.5438 4.5438 Å, 90.00 90.00 90.00°
Closest atoms and distances in Å follow each position.
Element x y z (fractional)
In 0.0000 0.0000 0.0000  6 B 2.27
Ga 0.5000 0.5000 0.5000  12 B 3.21
B 0.0000 0.0000 0.5000  2 In 2.27
B 0.0000 0.5000 0.0000  2 In 2.27
B 0.5000 0.0000 0.0000  2 In 2.27



Entry 11:
Material: SrLaAgHg
Method: DFT, PBE-GGA
State: relaxed

Crystal system = tetragonal
Size of the total moment = 0.00 μB per formula unit
Raw total energy = -2.83 eV per atom
Space-group type = No. 99
DOS(E_F) = 3.6 states/eV/f.u.

Cell: 3.9106 3.9106 7.8727 Å, 90.00 90.00 90.00°
Closest atoms and distances in Å follow each position.
Element x y z (fractional)
Sr 0.0000 0.0000 0.0000  4 Ag 3.46, 4 Hg 3.49, 1 La 3.86
La 0.0000 0.0000 0.4905  4 Ag 3.29, 4 Hg 3.35
Ag 0.5000 0.5000 0.2652  4 La 3.29, 4 Sr 3.46, 1 Hg 3.66
Hg 0.5000 0.5000 0.7299  4 La 3.35, 4 Sr 3.49, 1 Ag 3.66



Entry 12:
Material: Pr2ErTl
Method: DFT, PBE-GGA
State: relaxed

Crystal system = trigonal
Size of the total moment = 0.00 μB per formula unit
Raw total energy = -4.05 eV per atom
Space-group type = No. 166
DOS(E_F) = 4.4 states/eV/f.u.

Cell: 12.5891 12.5891 12.5891 Å, 16.41 16.41 16.41°
Closest atoms and distances in Å follow each position.
Element x y z (fractional)
Pr 0.0893 0.0893 0.0893  1 Tl 3.33, 3 Er 3.55, 6 Pr 3.59
Pr 0.9107 0.9107 0.9107  1 Tl 3.33, 3 Er 3.55, 6 Pr 3.59
Er 0.5000 0.5000 0.5000  6 Pr 3.55, 6 Er 3.59
Tl 0.0000 0.0000 0.0000  2 Pr 3.33, 6 Tl 3.59



Entry 13:
Material: Na2AlAu3
Method: DFT, PBE-GGA
State: relaxed

Crystal system = orthorhombic
Size of the total moment = 0.00 μB per formula unit
Raw total energy = -2.96 eV per atom
Space-group type = No. 51
DOS(E_F) = 1.4 states/eV/f.u.

Cell: 5.3871 5.6342 9.0452 Å, 90.00 90.00 90.00°
Closest atoms and distances in Å follow each position.
Element x y z (fractional)
Na 0.2500 0.0000 0.1209  10 Au 3.21-3.50, 4 Na 3.47-3.53
Na 0.2500 0.5000 0.3567  6 Au 3.23-3.50, 2 Al 3.28, 2 Na 3.53
Na 0.7500 0.0000 0.8791  10 Au 3.21-3.50, 4 Na 3.47-3.53
Na 0.7500 0.5000 0.6433  6 Au 3.23-3.50, 2 Al 3.28, 2 Na 3.53
Al 0.2500 0.0000 0.5427  2 Au 2.49
Al 0.7500 0.0000 0.4573  2 Au 2.49
Au 0.0000 0.5000 0.0000  6 Au 2.69-2.86
Au 0.2500 0.2538 0.7676  1 Al 2.49, 1 Au 2.77
Au 0.2500 0.7462 0.7676  1 Al 2.49, 1 Au 2.77
Au 0.5000 0.5000 0.0000  6 Au 2.69-2.86
Au 0.7500 0.2538 0.2324  1 Al 2.49, 1 Au 2.77
Au 0.7500 0.7462 0.2324  1 Al 2.49, 1 Au 2.77



Entry 14:
Material: Ac12ZnNi6
Method: DFT, PBE-GGA
State: relaxed

Crystal system = cubic
Size of the total moment = 0.00 μB per formula unit
Raw total energy = -4.68 eV per atom
Space-group type = No. 204
DOS(E_F) = 16.6 states/eV/f.u.

Cell: 9.2210 9.2210 9.2210 Å, 109.47 109.47 109.47°
Closest atoms and distances in Å follow each position.
Element x y z (fractional)
Ac 0.1287 0.8181 0.3107  3 Ni 2.93-3.07
Ac 0.1819 0.3107 0.4926  3 Ni 2.93-3.07
Ac 0.1819 0.6893 0.8713  3 Ni 2.93-3.07
Ac 0.3107 0.1287 0.8181  3 Ni 2.93-3.07
Ac 0.3107 0.4926 0.1819  3 Ni 2.93-3.07
Ac 0.4926 0.1819 0.3107  3 Ni 2.93-3.07
Ac 0.5074 0.8181 0.6893  3 Ni 2.93-3.07
Ac 0.6893 0.5074 0.8181  3 Ni 2.93-3.07
Ac 0.6893 0.8713 0.1819  3 Ni 2.93-3.07
Ac 0.8181 0.3107 0.1287  3 Ni 2.93-3.07
Ac 0.8181 0.6893 0.5074  3 Ni 2.93-3.07
Ac 0.8713 0.1819 0.6893  3 Ni 2.93-3.07
Zn 0.0000 0.0000 0.0000  12 Ac 3.83
Ni 0.1188 0.6188 0.5000  1 Ni 2.53
Ni 0.3812 0.5000 0.8812  1 Ni 2.53
Ni 0.5000 0.1188 0.6188  1 Ni 2.53
Ni 0.5000 0.8812 0.3812  1 Ni 2.53
Ni 0.6188 0.5000 0.1188  1 Ni 2.53
Ni 0.8812 0.3812 0.5000  1 Ni 2.53



Entry 15:
Material: RbInSb
Method: DFT, PBE-GGA
State: relaxed

Crystal system = orthorhombic
Formation energy from raw total energies = -192 meV/atom
Size of the total moment = 0.00 μB per formula unit
Space-group type = No. 63
DOS(E_F) = 1.8 states/eV/f.u.

Cell: 9.9726 9.9726 5.5404 Å, 90.00 90.00 153.11°
Closest atoms and distances in Å follow each position.
Element x y z (fractional)
Rb 0.1761 0.8239 0.7500  5 Sb 3.75-3.89, 3 In 3.86-4.15
Rb 0.8239 0.1761 0.2500  5 Sb 3.75-3.89, 3 In 3.86-4.15
In 0.0378 0.9622 0.2500  2 Sb 2.85, 2 In 3.13
In 0.9622 0.0378 0.7500  2 Sb 2.85, 2 In 3.13
Sb 0.3766 0.6234 0.7500  2 In 2.85
Sb 0.6234 0.3766 0.2500  2 In 2.85



Entry 16:
Material: BaZnSi2
Method: DFT, PBE-GGA
State: relaxed

Crystal system = cubic
Formation energy from raw total energies = 304 meV/atom
Size of the total moment = 0.00 μB per formula unit
Space-group type = No. 216
DOS(E_F) = 1.6 states/eV/f.u.

Cell: 5.1003 5.1003 5.1003 Å, 60.00 60.00 60.00°
Closest atoms and distances in Å follow each position.
Element x y z (fractional)
Ba 0.0000 0.0000 0.0000  4 Zn 3.12, 4 Si 3.12
Zn 0.7500 0.7500 0.7500  4 Si 3.12, 4 Ba 3.12
Si 0.2500 0.2500 0.2500  4 Si 3.12, 4 Ba 3.12
Si 0.5000 0.5000 0.5000  4 Zn 3.12, 4 Si 3.12



Entry 17:
Material: LiNdPdPb
Method: DFT, PBE-GGA
State: relaxed

Crystal system = cubic
Size of the total moment = 0.00 μB per formula unit
Raw total energy = -4.52 eV per atom
Space-group type = No. 216
DOS(E_F) = 0.3 states/eV/f.u.

Cell: 4.9247 4.9247 4.9247 Å, 60.00 60.00 60.00°
Closest atoms and distances in Å follow each position.
Element x y z (fractional)
Li 0.0000 0.0000 0.0000  4 Nd 3.02, 4 Pb 3.02
Nd 0.7500 0.7500 0.7500  4 Pd 3.02, 4 Li 3.02
Pd 0.5000 0.5000 0.5000  4 Nd 3.02, 4 Pb 3.02
Pb 0.2500 0.2500 0.2500  4 Pd 3.02, 4 Li 3.02



Entry 18:
Material: PmU2FeC4
Method: DFT, PBE-GGA
State: relaxed

Crystal system = orthorhombic
Size of the total moment = 0.00 μB per formula unit
Raw total energy = -9.17 eV per atom
Space-group type = No. 63
DOS(E_F) = 8.1 states/eV/f.u.

Cell: 5.9273 5.9273 11.5604 Å, 90.00 90.00 145.24°
Closest atoms and distances in Å follow each position.
Element x y z (fractional)
Pm 0.1020 0.8980 0.7500  6 C 2.69-2.83, 1 Fe 2.99
Pm 0.8980 0.1020 0.2500  6 C 2.69-2.83, 1 Fe 2.99
U 0.3694 0.6306 0.5508  6 C 2.35-2.40
U 0.3694 0.6306 0.9492  6 C 2.35-2.40
U 0.6306 0.3694 0.0508  6 C 2.35-2.40
U 0.6306 0.3694 0.4492  6 C 2.35-2.40
Fe 0.1622 0.8378 0.2500  4 C 1.85-2.01
Fe 0.8378 0.1622 0.7500  4 C 1.85-2.01
C 0.0000 0.0000 0.0000  4 U 2.38
C 0.0000 0.0000 0.5000  4 U 2.38
C 0.2560 0.7440 0.1192  1 Fe 1.85
C 0.2560 0.7440 0.3808  1 Fe 1.85
C 0.4226 0.5774 0.7500  2 Fe 2.01
C 0.5774 0.4226 0.2500  2 Fe 2.01
C 0.7440 0.2560 0.6192  1 Fe 1.85
C 0.7440 0.2560 0.8808  1 Fe 1.85



Entry 19:
Material: PdRuPt2
Method: DFT, PBE-GGA
State: relaxed

Crystal system = trigonal
Size of the total moment = 0.00 μB per formula unit
Raw total energy = -6.64 eV per atom
Space-group type = No. 166
DOS(E_F) = 6.2 states/eV/f.u.

Cell: 9.1676 9.1676 9.1676 Å, 17.45 17.45 17.45°
Closest atoms and distances in Å follow each position.
Element x y z (fractional)
Pd 0.0000 0.0000 0.0000  6 Pd 2.78, 6 Pt 2.82
Ru 0.5000 0.5000 0.5000  6 Pt 2.71, 6 Ru 2.78
Pt 0.2475 0.2475 0.2475  3 Ru 2.71, 6 Pt 2.78, 3 Pd 2.82
Pt 0.7525 0.7525 0.7525  3 Ru 2.71, 6 Pt 2.78, 3 Pd 2.82



Entry 20:
Material: Ca4Sn2O
Method: DFT, PBE-GGA
State: relaxed

Crystal system = tetragonal
Formation energy from raw total energies = -1202 meV/atom
Size of the total moment = 0.00 μB per formula unit
Space-group type = No. 139
DOS(E_F) = 5.9 states/eV/f.u.

Cell: 9.1542 9.1542 9.1542 Å, 150.29 150.29 42.52°
Closest atoms and distances in Å follow each position.
Element x y z (fractional)
Ca 0.0000 0.5000 0.5000  2 O 2.35
Ca 0.1672 0.1672 0.0000  1 O 2.85
Ca 0.5000 0.0000 0.5000  2 O 2.35
Ca 0.8328 0.8328 0.0000  1 O 2.85
Sn 0.3597 0.3597 0.0000  9 Ca 3.28-3.35
Sn 0.6403 0.6403 0.0000  9 Ca 3.28-3.35
O 0.0000 0.0000 0.0000  4 Ca 2.35